BaLi2OsW PBEsol relaxed; spin magnetization = 0.0 μB/cell; VASP energy = -27.02 eV/cell; space-group type = No. 123
1.0
5.088 0.000 0.000
0.000 5.088 0.000
0.000 0.000 4.656
Ba Li Os W
1 2 1 1
direct
0.000 0.000 0.000
0.000 0.500 0.500
0.500 0.000 0.500
0.500 0.500 0.000
0.500 0.500 0.500